# 1
Crystalline CrIr2W at its relaxed geometry. Source: the Alexandria database, functional PBE.

The calculation puts the total energy at -10.133 eV/atom. The calculation puts the formation energy at -23 kJ/mol of formula units. For the energy above the most stable polymorph in this dataset, the calculation gives 17.6 kJ per mole of atoms. The space group is P4mm, No. 99. The value obtained for the mass density is 17.93 Mg/m³.

extended XYZ file:
```
4
Lattice="2.732 0.000 0.000 0.000 2.732 0.000 0.000 0.000 7.696" Properties=species:S:1:pos:R:3 pbc="T T T"
Cr 0.000 0.000 0.000
Ir 0.000 0.000 3.762
Ir 1.366 1.366 1.668
W 1.366 1.366 5.693
```

***

# 2
Crystalline NaNb2FeN4 at its relaxed geometry. Source: the Alexandria database, functional PBE.

The uncorrected formation energy is -0.629 eV per atom. The calculation puts the total energy at -8.532 eV/atom. The space group is Cmcm, No. 63. The value obtained for the mass density is 5.84 Mg/m³.

extended XYZ file:
```
16
Lattice="1.552 -5.353 0.000 1.552 5.353 0.000 0.000 0.000 10.974" Properties=species:S:1:pos:R:3 pbc="T T T"
Na 1.552 4.271 8.231
Na 1.552 -4.271 2.744
Nb 1.552 1.416 5.965
Nb 1.552 1.416 10.496
Nb 1.552 -1.416 0.478
Nb 1.552 -1.416 5.009
Fe 1.552 3.579 2.744
Fe 1.552 -3.579 8.231
N 0.000 0.000 0.000
N 0.000 0.000 5.487
N 1.552 2.472 1.235
N 1.552 2.472 4.252
N 1.552 0.832 8.231
N 1.552 -0.832 2.744
N 1.552 -2.472 6.722
N 1.552 -2.472 9.740
```

***

# 3
Crystalline Sr3GeSb2Au6 at its relaxed geometry. Source: the Alexandria database, functional PBE.

The uncorrected formation energy is -0.534 eV per atom. The calculation puts the total energy at -3.665 eV/atom. The space group is P-3m1, No. 164. The value obtained for the mass density is 8.94 Mg/m³.

extended XYZ file:
```
12
Lattice="6.552 0.000 0.000 -3.276 5.674 0.000 0.000 0.000 8.794" Properties=species:S:1:pos:R:3 pbc="T T T"
Sr 0.000 0.000 0.000
Sr 0.000 3.783 5.643
Sr 3.276 1.891 3.151
Ge 0.000 0.000 4.397
Sb 0.000 3.783 0.748
Sb 3.276 1.891 8.046
Au 0.000 1.863 2.639
Au -1.663 4.743 2.639
Au 1.613 0.931 6.155
Au 1.663 4.743 2.639
Au 4.939 0.931 6.155
Au 3.276 3.812 6.155
```

***

# 4
Crystalline Na2TbPrTe4 at its relaxed geometry. Source: the Alexandria database, functional PBE.

The uncorrected formation energy is -1.322 eV per atom. The calculation puts the total energy at -4.399 eV/atom. The space group is P2/m, No. 10. The value obtained for the mass density is 5.32 Mg/m³.

extended XYZ file:
```
8
Lattice="7.816 0.000 0.000 0.000 4.512 0.000 -2.600 0.000 7.572" Properties=species:S:1:pos:R:3 pbc="T T T"
Na 0.000 0.000 0.000
Na 3.908 2.256 0.000
Tb -1.300 2.256 3.786
Pr 2.608 0.000 3.786
Te -0.053 0.000 5.563
Te 1.247 2.256 1.978
Te 3.969 2.256 5.594
Te 5.269 0.000 2.009
```

***

# 5
Crystalline TaBC3 at its relaxed geometry. Source: the Alexandria database, functional PBE.

The calculation puts the total energy at -6.494 eV/atom. The calculation puts the formation energy at 1325 kJ/mol of formula units. For the energy above the most stable polymorph in this dataset, the calculation gives 97.5 kJ per mole of atoms. The space group is Pm-3m, No. 221. The value obtained for the mass density is 5.12 Mg/m³.

extended XYZ file:
```
5
Lattice="4.195 0.000 0.000 0.000 4.195 0.000 0.000 0.000 4.195" Properties=species:S:1:pos:R:3 pbc="T T T"
Ta 0.000 0.000 0.000
B 2.098 2.098 2.098
C 0.000 0.000 2.098
C 0.000 2.098 0.000
C 2.098 0.000 0.000
```

***

# 6
Crystalline TlTc2Au at its relaxed geometry. Source: the Alexandria database, functional PBE.

The calculation puts the total energy at -5.907 eV/atom. The calculation puts the formation energy at 265 kJ/mol of formula units. For the energy above the most stable polymorph in this dataset, the calculation gives 39.6 kJ per mole of atoms. The space group is P4/mmm, No. 123. The value obtained for the mass density is 14.26 Mg/m³.

extended XYZ file:
```
4
Lattice="4.047 0.000 0.000 0.000 4.047 0.000 0.000 0.000 4.248" Properties=species:S:1:pos:R:3 pbc="T T T"
Tl 0.000 0.000 0.000
Tc 0.000 2.024 2.124
Tc 2.024 0.000 2.124
Au 2.024 2.024 0.000
```

***

# 7
Crystalline Al2Mo2Os at its relaxed geometry. Source: the Alexandria database, functional PBE.

The calculation puts the total energy at -8.038 eV/atom. The calculation puts the formation energy at 18 kJ/mol of formula units. The space group is P4/mbm, No. 127. The value obtained for the mass density is 9.75 Mg/m³.

extended XYZ file:
```
10
Lattice="6.667 0.000 0.000 0.000 6.667 0.000 0.000 0.000 3.342" Properties=species:S:1:pos:R:3 pbc="T T T"
Al 0.880 2.453 0.000
Al 2.453 5.787 0.000
Al 4.214 0.880 0.000
Al 5.787 4.214 0.000
Mo 1.125 4.459 1.671
Mo 2.208 1.125 1.671
Mo 4.459 5.542 1.671
Mo 5.542 2.208 1.671
Os 0.000 0.000 0.000
Os 3.334 3.334 0.000
```

***

# 8
Crystalline ZrZnH2 at its relaxed geometry. Source: the Alexandria database, functional PBE.

The calculation puts the total energy at -4.135 eV/atom. For the energy above the most stable polymorph in this dataset, the calculation gives 6.7 kJ per mole of atoms. The space group is Fm-3m, No. 225. The value obtained for the mass density is 6.45 Mg/m³.

extended XYZ file:
```
4
Lattice="0.000 2.733 2.733 2.733 0.000 2.733 2.733 2.733 0.000" Properties=species:S:1:pos:R:3 pbc="T T T"
Zr 0.000 0.000 0.000
Zn 2.733 2.733 2.733
H 1.366 1.366 1.366
H 4.099 4.099 4.099
```

***

# 9
Crystalline Cs3SmTh2Se6 at its relaxed geometry. Source: the Alexandria database, functional PBE.

The uncorrected formation energy is -1.591 eV per atom. The calculation puts the total energy at -5.177 eV/atom. The space group is C2/m, No. 12. The value obtained for the mass density is 6.01 Mg/m³.

extended XYZ file:
```
12
Lattice="3.738 -6.475 0.000 3.738 6.475 0.000 -2.492 0.000 8.485" Properties=species:S:1:pos:R:3 pbc="T T T"
Cs 0.000 0.000 0.000
Cs 3.738 2.149 0.000
Cs 3.738 -2.149 0.000
Sm 2.492 0.000 4.242
Th 2.492 4.315 4.242
Th 2.492 -4.315 4.242
Se 1.237 2.174 2.602
Se -0.018 0.000 5.881
Se 1.237 -2.174 2.602
Se 3.748 2.174 5.883
Se 5.003 0.000 2.604
Se 3.748 -2.174 5.883
```

***

# 10
Crystalline TbNbW4 at its relaxed geometry. Source: the Alexandria database, functional PBE.

The calculation puts the total energy at -10.976 eV/atom. The calculation puts the formation energy at 63 kJ/mol of formula units. The space group is F-43m, No. 216. The value obtained for the mass density is 14.48 Mg/m³.

extended XYZ file:
```
6
Lattice="0.000 3.839 3.839 3.839 0.000 3.839 3.839 3.839 0.000" Properties=species:S:1:pos:R:3 pbc="T T T"
Tb 0.000 0.000 0.000
Nb 1.920 1.920 1.920
W 4.799 2.879 2.879
W 2.879 4.799 2.879
W 2.879 2.879 4.799
W 4.799 4.799 4.799
```

***

# 11
Crystalline CaTe2Br at its relaxed geometry. Source: the Alexandria database, functional PBE.

The uncorrected formation energy is -0.699 eV per atom. The calculation puts the total energy at -3.188 eV/atom. For the energy above the most stable polymorph in this dataset, the calculation gives 33.7 kJ per mole of atoms. The space group is Imm2, No. 44. The value obtained for the mass density is 4.66 Mg/m³.

extended XYZ file:
```
4
Lattice="-1.912 3.424 5.109 1.912 -3.424 5.109 1.912 3.424 -5.109" Properties=species:S:1:pos:R:3 pbc="T T T"
Ca 0.000 0.000 0.000
Te 0.000 0.000 5.159
Te 0.000 3.424 2.308
Br 1.912 0.000 1.971
```

***

# 12
Crystalline KOs at its relaxed geometry. Source: the Alexandria database, functional PBE.

The calculation puts the total energy at -3.010 eV/atom. The calculation puts the formation energy at 609 kJ/mol of formula units. For the energy above the most stable polymorph in this dataset, the calculation gives 236.9 kJ per mole of atoms. The space group is F-43m, No. 216. The value obtained for the mass density is 3.25 Mg/m³.

extended XYZ file:
```
2
Lattice="0.000 3.885 3.885 3.885 0.000 3.885 3.885 3.885 0.000" Properties=species:S:1:pos:R:3 pbc="T T T"
K 0.000 0.000 0.000
Os 5.828 5.828 5.828
```